Entry 1:
Compound: Tm4InRh
Source: Alexandria
Functional: PBEsol
Structure: optimized geometry

Lattice parameters (Å, degrees): 9.3635 9.3635 9.3635 60.00 60.00 60.00
Last column: nearest neighbours and their distance in Å.
Atoms (fractional coordinates):
1 Tm 0.1884 0.1884 0.8116  2 In 3.14, 2 Rh 3.37, 6 Tm 3.37-3.50
2 Tm 0.1884 0.8116 0.1884  2 In 3.14, 2 Rh 3.37, 6 Tm 3.37-3.50
3 Tm 0.1884 0.8116 0.8116  2 In 3.14, 2 Rh 3.37, 6 Tm 3.37-3.50
4 Tm 0.4001 0.4001 0.4001  3 Rh 2.75
5 Tm 0.4001 0.4001 0.7998  3 Rh 2.75
6 Tm 0.4001 0.7998 0.4001  3 Rh 2.75
7 Tm 0.5605 0.5605 0.9395  2 Rh 2.74
8 Tm 0.5605 0.9395 0.5605  2 Rh 2.74
9 Tm 0.5605 0.9395 0.9395  2 Rh 2.74
10 Tm 0.7998 0.4001 0.4001  3 Rh 2.75
11 Tm 0.8116 0.1884 0.1884  2 In 3.14, 2 Rh 3.37, 6 Tm 3.37-3.50
12 Tm 0.8116 0.1884 0.8116  2 In 3.14, 2 Rh 3.37, 6 Tm 3.37-3.50
13 Tm 0.8116 0.8116 0.1884  2 In 3.14, 2 Rh 3.37, 6 Tm 3.37-3.50
14 Tm 0.9395 0.5605 0.5605  2 Rh 2.74
15 Tm 0.9395 0.5605 0.9395  2 Rh 2.74
16 Tm 0.9395 0.9395 0.5605  2 Rh 2.74
17 In 0.1669 0.1669 0.1669  3 In 3.11, 9 Tm 3.14-3.39
18 In 0.1669 0.1669 0.4992  3 In 3.11, 9 Tm 3.14-3.39
19 In 0.1669 0.4992 0.1669  3 In 3.11, 9 Tm 3.14-3.39
20 In 0.4992 0.1669 0.1669  3 In 3.11, 9 Tm 3.14-3.39
21 Rh 0.1776 0.6075 0.6075  6 Tm 2.74-2.75
22 Rh 0.6075 0.1776 0.6075  6 Tm 2.74-2.75
23 Rh 0.6075 0.6075 0.1776  6 Tm 2.74-2.75
24 Rh 0.6075 0.6075 0.6075  6 Tm 2.74-2.75

Results
SG: No. 216

Entry 2:
Compound: U2In8Rh
Source: Alexandria
Functional: PBEsol
Structure: optimized geometry

Lattice parameters (Å, degrees): 4.5696 4.5696 11.8850 90.00 90.00 90.00
Last column: nearest neighbours and their distance in Å.
Atoms (fractional coordinates):
1 U 0.0000 0.0000 0.1902  12 In 3.17-3.23
2 U 0.0000 0.0000 0.8098  12 In 3.17-3.23
3 In 0.0000 0.5000 0.0000  8 In 3.21-3.23, 4 U 3.21
4 In 0.0000 0.5000 0.3753  2 Rh 2.72, 1 In 2.96
5 In 0.0000 0.5000 0.6247  2 Rh 2.72, 1 In 2.96
6 In 0.5000 0.0000 0.0000  8 In 3.21-3.23, 4 U 3.21
7 In 0.5000 0.0000 0.3753  2 Rh 2.72, 1 In 2.96
8 In 0.5000 0.0000 0.6247  2 Rh 2.72, 1 In 2.96
9 In 0.5000 0.5000 0.1898  8 In 3.18-3.21, 4 U 3.23
10 In 0.5000 0.5000 0.8102  8 In 3.18-3.21, 4 U 3.23
11 Rh 0.0000 0.0000 0.5000  8 In 2.72

Results
SG: No. 123

Entry 3:
Compound: In2RhW
Source: Alexandria
Functional: PBEsol
Structure: optimized geometry

Lattice parameters (Å, degrees): 2.9139 2.9139 8.0114 90.00 90.00 90.00
Last column: nearest neighbours and their distance in Å.
Atoms (fractional coordinates):
1 In 0.0000 0.0000 0.2296  4 Rh 2.76, 4 In 2.91, 4 W 2.99
2 In 0.0000 0.0000 0.7704  4 Rh 2.76, 4 In 2.91, 4 W 2.99
3 Rh 0.5000 0.5000 0.0000  8 In 2.76, 4 Rh 2.91
4 W 0.5000 0.5000 0.5000  4 W 2.91, 8 In 2.99

Results
SG: No. 123
E above lowest polymorph: 27 meV/atom

Entry 4:
Compound: In2RhW
Source: Alexandria
Functional: PBEsol
Structure: optimized geometry

Lattice parameters (Å, degrees): 4.5976 4.5976 4.5976 60.00 60.00 60.00
Last column: nearest neighbours and their distance in Å.
Atoms (fractional coordinates):
1 In 0.2500 0.2500 0.2500  4 W 2.82, 4 Rh 2.82
2 In 0.7500 0.7500 0.7500  4 W 2.82, 4 Rh 2.82
3 Rh 0.0000 0.0000 0.0000  8 In 2.82
4 W 0.5000 0.5000 0.5000  8 In 2.82

Results
SG: No. 225
E above lowest polymorph: 242 meV/atom

Entry 5:
Compound: InRh2W
Source: Alexandria
Functional: PBEsol
Structure: optimized geometry

Lattice parameters (Å, degrees): 4.4374 4.4374 4.4374 60.00 60.00 60.00
Last column: nearest neighbours and their distance in Å.
Atoms (fractional coordinates):
1 In 0.0000 0.0000 0.0000  4 W 2.72, 4 Rh 2.72
2 Rh 0.2500 0.2500 0.2500  4 In 2.72, 4 Rh 2.72
3 Rh 0.5000 0.5000 0.5000  4 W 2.72, 4 Rh 2.72
4 W 0.7500 0.7500 0.7500  4 In 2.72, 4 Rh 2.72

Results
SG: No. 216

Entry 6:
Compound: InRh2W
Source: Alexandria
Functional: PBEsol
Structure: optimized geometry

Lattice parameters (Å, degrees): 4.8772 4.8772 4.7289 99.96 99.96 33.75
Last column: nearest neighbours and their distance in Å.
Atoms (fractional coordinates):
1 In 0.0000 0.0000 0.0000  7 Rh 2.66-2.76, 2 In 2.83, 1 W 2.94
2 Rh 0.2506 0.2506 0.8083  3 In 2.66-2.74, 4 W 2.69-2.82, 4 Rh 2.83-2.88
3 Rh 0.5027 0.5027 0.4989  3 W 2.66-2.68, 4 In 2.75-2.76, 4 Rh 2.83-2.88
4 W 0.7614 0.7614 0.3280  7 Rh 2.66-2.82, 2 W 2.83, 1 In 2.94

Results
SG: No. 8

Entry 7:
Compound: In2RhW
Source: Alexandria
Functional: PBEsol
Structure: optimized geometry

Lattice parameters (Å, degrees): 9.1952 9.1952 9.1952 18.57 18.57 18.57
Last column: nearest neighbours and their distance in Å.
Atoms (fractional coordinates):
1 In 0.2456 0.2456 0.2456  3 Rh 2.74, 3 W 2.93, 6 In 2.97
2 In 0.7544 0.7544 0.7544  3 Rh 2.74, 3 W 2.93, 6 In 2.97
3 Rh 0.5000 0.5000 0.5000  6 In 2.74, 6 Rh 2.97
4 W 0.0000 0.0000 0.0000  6 In 2.93, 6 W 2.97

Results
SG: No. 166
E above lowest polymorph: 68 meV/atom

Entry 8:
Compound: In2RhW
Source: Alexandria
Functional: PBEsol
Structure: optimized geometry

Lattice parameters (Å, degrees): 5.3164 5.3164 2.8653 101.47 101.47 113.21
Last column: nearest neighbours and their distance in Å.
Atoms (fractional coordinates):
1 In 0.0000 0.5000 0.0000  2 W 2.76, 2 Rh 2.76, 4 In 2.87-2.93
2 In 0.5000 0.0000 0.0000  2 W 2.76, 2 Rh 2.76, 4 In 2.87-2.93
3 Rh 0.0000 0.0000 0.5000  4 In 2.76, 2 Rh 2.87, 2 W 2.93
4 W 0.5000 0.5000 0.5000  4 In 2.76, 2 W 2.87, 2 Rh 2.93

Results
SG: No. 12
E above lowest polymorph: 180 meV/atom

Number 1: energy -5.704 eV/atom, total magnetization 0.00 μB per formula unit, formation energy from the elements -3.51 eV per formula unit. Number 2: energy -5.218 eV/atom, total magnetization 4.90 μB per formula unit, formation energy from the elements -1.08 eV per formula unit. Number 3: energy -6.772 eV/atom, total magnetization 0.00 μB per formula unit, formation energy from the elements 0.82 eV per formula unit. Number 4: energy -6.556 eV/atom, total magnetization 1.67 μB per formula unit, formation energy from the elements 1.69 eV per formula unit. Number 5: energy -8.001 eV/atom, total magnetization 0.00 μB per formula unit, formation energy from the elements 1.06 eV per formula unit. Number 6: energy -8.342 eV/atom, total magnetization 0.00 μB per formula unit, formation energy from the elements -0.30 eV per formula unit. Number 7: energy -6.731 eV/atom, total magnetization 0.00 μB per formula unit, formation energy from the elements 0.99 eV per formula unit. Number 8: energy -6.619 eV/atom, total magnetization 0.00 μB per formula unit, formation energy from the elements 1.44 eV per formula unit.